Material: Pm2FeF8
Method: DFT, PBE+U
State: optimized geometry

Structure (POSCAR):
```
Pm2FeF8
1.0
7.601 -1.875 0.000
7.601 1.875 0.000
-1.854 0.000 5.014
Pm Fe F
2 1 8
Direct
0.172 0.172 0.163
0.828 0.828 0.837
0.500 0.500 0.500
0.042 0.042 0.756
0.225 0.225 0.624
0.322 0.322 0.103
0.409 0.409 0.715
0.591 0.591 0.285
0.678 0.678 0.897
0.775 0.775 0.376
0.958 0.958 0.244
```

## Properties
symmetry	C2/m, No. 12
total magnetization	0.364	μB per atom
electronic total energy	-69.7	eV for the cell shown